1.
The following is a DFT calculation (PBE) of a relaxed structure of DyHo2Al.

a = 3.564 Å, b = 3.564 Å, c = 31.105 Å
α = 90.00°, β = 90.00°, γ = 120.00°
Fractional coordinates of all 12 atoms:
Dy 0.000 0.000 0.000
Dy 0.333 0.667 0.667
Dy 0.667 0.333 0.333
Ho 0.000 0.000 0.240
Ho 0.000 0.000 0.427
Ho 0.333 0.667 0.094
Ho 0.333 0.667 0.906
Ho 0.667 0.333 0.573
Ho 0.667 0.333 0.761
Al 0.000 0.000 0.834
Al 0.333 0.667 0.501
Al 0.667 0.333 0.167

Computed properties:
N(E_F) in states/eV per atom: 1.00
E_form in eV per atom: -0.0742
Symmetry: R3m
E above lowest polymorph in meV per atom: 126

***

2.
The following is a DFT calculation (PBE) of a relaxed structure of Dy2Ho8Al.

a = 9.902 Å, b = 9.902 Å, c = 6.382 Å
α = 93.83°, β = 93.83°, γ = 31.89°
Fractional coordinates of all 11 atoms:
Dy 0.242 0.242 0.333
Dy 0.758 0.758 0.667
Ho 0.043 0.043 0.254
Ho 0.155 0.155 0.811
Ho 0.342 0.342 0.878
Ho 0.422 0.422 0.398
Ho 0.578 0.578 0.602
Ho 0.658 0.658 0.122
Ho 0.845 0.845 0.189
Ho 0.957 0.957 0.746
Al 0.500 0.500 0.000

Computed properties:
N(E_F) in states/eV per atom: 1.28
E_form in eV per atom: -0.0405
Symmetry: C2/m

***

3.
The following is a DFT calculation (PBE) of a relaxed structure of DyHoAl.

a = 6.395 Å, b = 6.395 Å, c = 8.051 Å
α = 90.00°, β = 90.14°, γ = 90.00°
Fractional coordinates of all 12 atoms:
Dy 0.000 0.250 0.000
Dy 0.000 0.750 0.000
Dy 0.500 0.250 0.000
Dy 0.500 0.750 0.000
Ho 0.249 0.000 0.643
Ho 0.251 0.500 0.357
Ho 0.749 0.500 0.643
Ho 0.751 0.000 0.357
Al 0.249 0.500 0.733
Al 0.251 0.000 0.267
Al 0.749 0.000 0.733
Al 0.751 0.500 0.267

Computed properties:
N(E_F) in states/eV per atom: 1.57
E_form in eV per atom: -0.1553
Symmetry: C2/m
E above lowest polymorph in meV per atom: 113